[1]
The following is a DFT calculation (GGA-PBE) of crystalline Ac2SmIn at its relaxed geometry.

Output
Formation energy in eV/atom: -0.20
Size of the total moment in Bohr magnetons per cell: 0.000
Volume in A^3/atom: 37.055
Raw total energy in eV for the cell shown: -16.48
Space-group type: Cm
Energy above the lowest structure with this stoichiometry in eV per atom: 0.000

Cell lengths 7.1265, 7.1265, 5.8677 Å; angles 114.30, 114.30, 33.42 degrees
Atoms (fractional coordinates):
Ac1 0.0000 0.0000 0.0000
Ac2 0.2154 0.2154 0.7146
Sm1 0.7798 0.7798 0.2790
In1 0.4834 0.4834 0.4836



[2]
The following is a DFT calculation (GGA-PBE) of crystalline TbSc3Co at its relaxed geometry.

Output
Formation energy in eV/atom: -0.09
Size of the total moment in Bohr magnetons per cell: 0.000
Volume in A^3/atom: 24.028
Raw total energy in eV for the cell shown: -31.19
Space-group type: Pm-3m
Energy above the lowest structure with this stoichiometry in eV per atom: 0.033

Cell lengths 4.9343, 4.9343, 4.9343 Å; angles 90.00, 90.00, 90.00 degrees
Atoms (fractional coordinates):
Tb1 0.0000 0.0000 0.0000
Sc1 0.0000 0.5000 0.5000
Sc2 0.5000 0.0000 0.5000
Sc3 0.5000 0.5000 0.0000
Co1 0.5000 0.5000 0.5000



[3]
The following is a DFT calculation (GGA-PBE) of crystalline Co2HgRu2 at its relaxed geometry.

Output
Formation energy in eV/atom: 0.46
Size of the total moment in Bohr magnetons per cell: 6.898
Volume in A^3/atom: 14.527
Raw total energy in eV for the cell shown: -61.57
Space-group type: P4/mbm
Energy above the lowest structure with this stoichiometry in eV per atom: 0.030

Cell lengths 7.3242, 7.3242, 2.7080 Å; angles 90.00, 90.00, 90.00 degrees
Atoms (fractional coordinates):
Co1 0.1650 0.3350 0.0000
Co2 0.3350 0.8350 0.0000
Co3 0.6650 0.1650 0.0000
Co4 0.8350 0.6650 0.0000
Hg1 0.0000 0.0000 0.5000
Hg2 0.5000 0.5000 0.5000
Ru1 0.1259 0.6259 0.5000
Ru2 0.3741 0.1259 0.5000
Ru3 0.6259 0.8741 0.5000
Ru4 0.8741 0.3741 0.5000



[4]
The following is a DFT calculation (GGA-PBE) of crystalline Tm3AgPt2 at its relaxed geometry.

Output
Formation energy in eV/atom: -0.98
Size of the total moment in Bohr magnetons per cell: 0.000
Volume in A^3/atom: 21.325
Raw total energy in eV for the cell shown: -34.25
Space-group type: P4/mmm

Cell lengths 3.4969, 3.4969, 10.4636 Å; angles 90.00, 90.00, 90.00 degrees
Atoms (fractional coordinates):
Tm1 0.0000 0.0000 0.0000
Tm2 0.0000 0.0000 0.3204
Tm3 0.0000 0.0000 0.6796
Ag1 0.5000 0.5000 0.5000
Pt1 0.5000 0.5000 0.1633
Pt2 0.5000 0.5000 0.8367